# 1
Compound: VZn2Os
Source: Alexandria via LeMat-Bulk
Functional: PBE-GGA
Structure: relaxed

Polymorph energy (0 for the lowest one) (meV per atom): 135

abc: 3.5829 3.5829 9.7386
angles: 79.40 79.40 90.00
Closest atoms and distances in Å follow each position.
Fractional coordinates of all 8 atoms:
Zn (0.6296, 0.1250, 0.2500)  4 Zn 2.51-2.56, 2 Os 2.66, 2 V 2.68
Zn (0.1204, 0.6250, 0.2500)  4 Zn 2.51-2.56, 2 Os 2.66, 2 V 2.68
Zn (0.3750, 0.3704, 0.7500)  4 Zn 2.51-2.56, 2 Os 2.66, 2 V 2.68
Zn (0.8750, 0.8796, 0.7500)  4 Zn 2.51-2.56, 2 Os 2.66, 2 V 2.68
Os (0.0000, 0.0000, 0.0000)  4 V 2.53, 4 Zn 2.66
Os (0.7500, 0.2500, 0.5000)  4 V 2.53, 4 Zn 2.66
V (0.5000, 0.5000, 0.0000)  4 Os 2.53, 4 Zn 2.68
V (0.2500, 0.7500, 0.5000)  4 Os 2.53, 4 Zn 2.68

=====

# 2
Compound: Zr2V2Os
Source: Alexandria via LeMat-Bulk
Functional: PBE-GGA
Structure: relaxed

abc: 6.3484 6.3484 4.4512
angles: 90.00 90.00 90.00
Closest atoms and distances in Å follow each position.
Fractional coordinates of all 10 atoms:
Os (0.0000, 0.0000, 0.0000)  4 V 2.45
Os (0.5000, 0.5000, 0.0000)  4 V 2.45
Zr (0.1711, 0.6711, 0.5000)  6 V 2.79-2.99, 1 Zr 3.07
Zr (0.6711, 0.8289, 0.5000)  6 V 2.79-2.99, 1 Zr 3.07
Zr (0.8289, 0.3289, 0.5000)  6 V 2.79-2.99, 1 Zr 3.07
Zr (0.3289, 0.1711, 0.5000)  6 V 2.79-2.99, 1 Zr 3.07
V (0.3588, 0.8588, 0.0000)  2 Os 2.45, 1 V 2.53
V (0.8588, 0.6412, 0.0000)  2 Os 2.45, 1 V 2.53
V (0.6412, 0.1412, 0.0000)  2 Os 2.45, 1 V 2.53
V (0.1412, 0.3588, 0.0000)  2 Os 2.45, 1 V 2.53

=====

# 3
Compound: ZrV3Os
Source: Alexandria via LeMat-Bulk
Functional: PBE-GGA
Structure: relaxed

Polymorph energy (0 for the lowest one) (meV per atom): 0

abc: 4.6134 4.6134 4.6134
angles: 90.00 90.00 90.00
Closest atoms and distances in Å follow each position.
Fractional coordinates of all 5 atoms:
Os (0.0000, 0.0000, 0.0000)  6 V 2.31
Zr (0.5000, 0.5000, 0.5000)  12 V 3.26
V (0.0000, 0.5000, 0.0000)  2 Os 2.31
V (0.0000, 0.0000, 0.5000)  2 Os 2.31
V (0.5000, 0.0000, 0.0000)  2 Os 2.31

=====

# 4
Compound: Zr2V3Os
Source: Alexandria via LeMat-Bulk
Functional: PBE-GGA
Structure: relaxed

abc: 5.2471 5.2471 5.1813
angles: 89.96 120.42 120.04
Closest atoms and distances in Å follow each position.
Fractional coordinates of all 6 atoms:
Zr (0.7493, 0.3747, 0.1239)  9 V 3.03-3.06, 3 Os 3.07-3.08, 4 Zr 3.16-3.20
Zr (0.2507, 0.6253, 0.8761)  9 V 3.03-3.06, 3 Os 3.07-3.08, 4 Zr 3.16-3.20
V (0.5000, 0.5000, 0.5000)  2 Os 2.59, 4 V 2.62
V (0.0000, 0.0000, 0.5000)  2 Os 2.59, 4 V 2.62
V (0.5000, 0.0000, 0.5000)  2 Os 2.59, 4 V 2.62
Os (0.0000, 0.0000, 0.0000)  6 V 2.59

=====

# 5
Compound: Zr3V8Os
Source: Alexandria via LeMat-Bulk
Functional: PBE-GGA
Structure: relaxed

abc: 5.0907 5.0907 8.9279
angles: 73.44 73.44 60.00
Closest atoms and distances in Å follow each position.
Fractional coordinates of all 12 atoms:
Zr (0.3749, 0.3749, 0.8752)  12 V 3.00-3.09, 4 Zr 3.14-3.21
Zr (0.9979, 0.9979, 0.0064)  12 V 2.99-3.14, 1 Os 3.10, 3 Zr 3.14
Zr (0.5020, 0.5020, 0.4941)  12 V 2.90-2.98, 3 Os 3.11, 1 Zr 3.21
V (0.9325, 0.4354, 0.1966)  6 V 2.49-2.58
V (0.4431, 0.9397, 0.6775)  6 V 2.53-2.68
V (0.4354, 0.4354, 0.1966)  6 V 2.49-2.58
V (0.9397, 0.9397, 0.6775)  6 V 2.53-2.68
V (0.1887, 0.1887, 0.4338)  6 V 2.49-2.53
V (0.6853, 0.6853, 0.9442)  6 V 2.58-2.68
V (0.4354, 0.9325, 0.1966)  6 V 2.49-2.58
V (0.9397, 0.4431, 0.6775)  6 V 2.53-2.68
Os (0.8753, 0.8753, 0.3740)  12 V 2.95-2.98, 4 Zr 3.10-3.11

=====

# 6
Compound: ZrV3Os
Source: Alexandria via LeMat-Bulk
Functional: PBE-GGA
Structure: relaxed

Polymorph energy (0 for the lowest one) (meV per atom): 1176

abc: 4.4576 4.4576 4.4576
angles: 90.00 90.00 90.00
Closest atoms and distances in Å follow each position.
Fractional coordinates of all 5 atoms:
Os (0.5000, 0.5000, 0.5000)  12 V 3.15
Zr (0.0000, 0.0000, 0.0000)  6 V 2.23
V (0.0000, 0.5000, 0.0000)  2 Zr 2.23
V (0.0000, 0.0000, 0.5000)  2 Zr 2.23
V (0.5000, 0.0000, 0.0000)  2 Zr 2.23

=====

# 7
Compound: ZrVOs2
Source: Alexandria via LeMat-Bulk
Functional: PBE-GGA
Structure: relaxed

abc: 7.0845 7.0845 5.7084
angles: 51.65 51.65 90.00
Closest atoms and distances in Å follow each position.
Fractional coordinates of all 8 atoms:
Os (0.5819, 0.1250, 0.2500)  2 V 2.40
Os (0.1681, 0.6250, 0.2500)  2 V 2.40
Os (0.3750, 0.4181, 0.7500)  2 V 2.40
Os (0.8750, 0.8319, 0.7500)  2 V 2.40
Zr (0.0000, 0.0000, 0.0000)  2 V 2.74, 4 Os 2.81
Zr (0.7500, 0.2500, 0.5000)  2 V 2.74, 4 Os 2.81
V (0.5000, 0.5000, 0.0000)  4 Os 2.40
V (0.2500, 0.7500, 0.5000)  4 Os 2.40

=====

# 8
Compound: Zr3VOs
Source: Alexandria via LeMat-Bulk
Functional: PBE-GGA
Structure: relaxed

Polymorph energy (0 for the lowest one) (meV per atom): 287

abc: 4.7436 4.7436 4.7436
angles: 90.00 90.00 90.00
Closest atoms and distances in Å follow each position.
Fractional coordinates of all 5 atoms:
Os (0.5000, 0.5000, 0.5000)  12 Zr 3.35
Zr (0.0000, 0.5000, 0.0000)  2 V 2.37
Zr (0.0000, 0.0000, 0.5000)  2 V 2.37
Zr (0.5000, 0.0000, 0.0000)  2 V 2.37
V (0.0000, 0.0000, 0.0000)  6 Zr 2.37

=====

# 9
Compound: Zr3VOs
Source: Alexandria via LeMat-Bulk
Functional: PBE-GGA
Structure: relaxed

Polymorph energy (0 for the lowest one) (meV per atom): 0

abc: 5.0492 5.0492 5.0492
angles: 90.00 90.00 90.00
Closest atoms and distances in Å follow each position.
Fractional coordinates of all 5 atoms:
Os (0.0000, 0.0000, 0.0000)  6 Zr 2.52
Zr (0.0000, 0.5000, 0.0000)  2 Os 2.52
Zr (0.0000, 0.0000, 0.5000)  2 Os 2.52
Zr (0.5000, 0.0000, 0.0000)  2 Os 2.52
V (0.5000, 0.5000, 0.5000)  12 Zr 3.57

=====

# 10
Compound: ZrVOs2
Source: Alexandria via LeMat-Bulk
Functional: PBE-GGA
Structure: relaxed

abc: 3.1607 4.4756 4.4756
angles: 90.00 90.00 90.00
Closest atoms and distances in Å follow each position.
Fractional coordinates of all 4 atoms:
Os (0.0000, 0.0000, 0.5000)  4 Zr 2.74, 4 V 2.74
Os (0.0000, 0.5000, 0.0000)  4 Zr 2.74, 4 V 2.74
Zr (0.5000, 0.5000, 0.5000)  8 Os 2.74
V (0.5000, 0.0000, 0.0000)  8 Os 2.74

=====

# 11
Compound: ZrVOs2
Source: Alexandria via LeMat-Bulk
Functional: PBE-GGA
Structure: relaxed

abc: 3.0532 3.0532 6.7865
angles: 90.00 90.00 90.00
Closest atoms and distances in Å follow each position.
Fractional coordinates of all 4 atoms:
Os (0.0000, 0.0000, 0.7847)  4 V 2.61, 4 Zr 2.90
Os (0.0000, 0.0000, 0.2153)  4 V 2.61, 4 Zr 2.90
Zr (0.5000, 0.5000, 0.5000)  8 Os 2.90, 4 Zr 3.05
V (0.5000, 0.5000, 0.0000)  8 Os 2.61

=====

# 12
Compound: OsW
Source: Alexandria via LeMat-Bulk
Functional: PBE-GGA
Structure: relaxed

abc: 3.9041 4.8727 3.9041
angles: 66.38 90.00 113.62
Closest atoms and distances in Å follow each position.
Fractional coordinates of all 4 atoms:
Os (0.0000, 0.0000, 0.0000)  8 W 2.76-2.80, 4 Os 2.80
Os (0.7500, 0.5000, 0.7500)  8 W 2.76-2.80, 4 Os 2.80
W (0.2500, 0.5000, 0.2500)  8 Os 2.76-2.80, 4 W 2.80
W (0.5000, 0.0000, 0.5000)  8 Os 2.76-2.80, 4 W 2.80

=====

# 13
Compound: Os3W
Source: Alexandria via LeMat-Bulk
Functional: PBE-GGA
Structure: relaxed

abc: 4.4088 5.5546 5.5546
angles: 60.00 90.00 90.00
Closest atoms and distances in Å follow each position.
Fractional coordinates of all 8 atoms:
Os (0.7500, 0.6664, 0.1668)  4 W 2.73-2.78, 8 Os 2.73-2.78
Os (0.7500, 0.1668, 0.1668)  4 W 2.73-2.78, 8 Os 2.73-2.78
Os (0.7500, 0.1668, 0.6664)  4 W 2.73-2.78, 8 Os 2.73-2.78
Os (0.2500, 0.3336, 0.8332)  4 W 2.73-2.78, 8 Os 2.73-2.78
Os (0.2500, 0.8332, 0.8332)  4 W 2.73-2.78, 8 Os 2.73-2.78
Os (0.2500, 0.8332, 0.3336)  4 W 2.73-2.78, 8 Os 2.73-2.78
W (0.2500, 0.3333, 0.3333)  12 Os 2.73-2.78
W (0.7500, 0.6667, 0.6667)  12 Os 2.73-2.78

=====

# 14
Compound: OsW
Source: Alexandria via LeMat-Bulk
Functional: PBE-GGA
Structure: relaxed

abc: 3.9390 3.9390 5.2844
angles: 90.00 90.00 120.00
Closest atoms and distances in Å follow each position.
Fractional coordinates of all 4 atoms:
Os (0.0000, 0.0000, 0.0000)  6 W 2.63, 2 Os 2.64
Os (0.0000, 0.0000, 0.5000)  6 W 2.63, 2 Os 2.64
W (0.3333, 0.6667, 0.2500)  6 Os 2.63
W (0.6667, 0.3333, 0.7500)  6 Os 2.63

=====

# 15
Compound: Os3W
Source: Alexandria via LeMat-Bulk
Functional: PBE-GGA
Structure: relaxed

abc: 5.2086 5.2086 5.2086
angles: 149.09 124.93 64.50
Closest atoms and distances in Å follow each position.
Fractional coordinates of all 4 atoms:
Os (0.7508, 0.7519, 0.9989)  3 W 2.70-2.74, 9 Os 2.71-2.78
Os (0.2470, 0.2481, 0.9989)  3 W 2.70-2.74, 9 Os 2.71-2.78
Os (0.1662, 0.5000, 0.6662)  8 Os 2.71-2.78, 4 W 2.77-2.79
W (0.6693, 0.0000, 0.6693)  10 Os 2.70-2.79, 2 W 2.78

=====

# 16
Compound: OsW
Source: Alexandria via LeMat-Bulk
Functional: PBE-GGA
Structure: relaxed

abc: 11.4646 4.5473 4.7870
angles: 90.00 90.00 90.00
Closest atoms and distances in Å follow each position.
Fractional coordinates of all 16 atoms:
Os (0.5020, 0.2500, 0.8241)  6 W 2.62-2.90, 5 Os 2.76-2.83
Os (0.0020, 0.2500, 0.6759)  6 W 2.62-2.90, 5 Os 2.76-2.83
Os (0.4980, 0.7500, 0.1759)  6 W 2.62-2.90, 5 Os 2.76-2.83
Os (0.9980, 0.7500, 0.3241)  6 W 2.62-2.90, 5 Os 2.76-2.83
Os (0.3665, 0.2500, 0.2995)  4 W 2.53-2.78, 3 Os 2.76-2.79
Os (0.8665, 0.2500, 0.2005)  4 W 2.53-2.78, 3 Os 2.76-2.79
Os (0.6335, 0.7500, 0.7005)  4 W 2.53-2.78, 3 Os 2.76-2.79
Os (0.1335, 0.7500, 0.7995)  4 W 2.53-2.78, 3 Os 2.76-2.79
W (0.6094, 0.2500, 0.3072)  5 Os 2.62-2.78, 3 W 2.68-2.78
W (0.1094, 0.2500, 0.1928)  5 Os 2.62-2.78, 3 W 2.68-2.78
W (0.3906, 0.7500, 0.6928)  5 Os 2.62-2.78, 3 W 2.68-2.78
W (0.8906, 0.7500, 0.8072)  5 Os 2.62-2.78, 3 W 2.68-2.78
W (0.2526, 0.2500, 0.7516)  3 Os 2.53-2.66, 3 W 2.68-2.78
W (0.7526, 0.2500, 0.7484)  3 Os 2.53-2.66, 3 W 2.68-2.78
W (0.7474, 0.7500, 0.2484)  3 Os 2.53-2.66, 3 W 2.68-2.78
W (0.2474, 0.7500, 0.2516)  3 Os 2.53-2.66, 3 W 2.68-2.78

=====

# 17
Compound: OsW3
Source: Alexandria via LeMat-Bulk
Functional: PBE-GGA
Structure: relaxed

abc: 5.4936 5.4936 4.4176
angles: 90.00 90.00 108.66
Closest atoms and distances in Å follow each position.
Fractional coordinates of all 8 atoms:
Os (0.6068, 0.3932, 0.2500)  8 W 2.66-2.83, 2 Os 2.92
Os (0.3932, 0.6068, 0.7500)  8 W 2.66-2.83, 2 Os 2.92
W (0.3699, 0.1149, 0.7500)  4 Os 2.66-2.83, 4 W 2.70-2.78
W (0.8697, 0.1303, 0.7500)  8 W 2.70-2.78
W (0.1149, 0.3699, 0.2500)  4 Os 2.66-2.83, 4 W 2.70-2.78
W (0.8851, 0.6301, 0.7500)  4 Os 2.66-2.83, 4 W 2.70-2.78
W (0.1303, 0.8697, 0.2500)  8 W 2.70-2.78
W (0.6301, 0.8851, 0.2500)  4 Os 2.66-2.83, 4 W 2.70-2.78

=====

# 18
Compound: OsW
Source: Alexandria via LeMat-Bulk
Functional: PBE-GGA
Structure: relaxed

abc: 4.7974 4.7974 4.7974
angles: 33.85 33.85 33.85
Closest atoms and distances in Å follow each position.
Fractional coordinates of all 2 atoms:
Os (0.0000, 0.0000, 0.0000)  6 W 2.78, 6 Os 2.79
W (0.5000, 0.5000, 0.5000)  6 Os 2.78, 6 W 2.79

=====

# 19
Compound: OsW3
Source: Alexandria via LeMat-Bulk
Functional: PBE-GGA
Structure: relaxed

abc: 2.7995 4.9456 4.8539
angles: 99.81 90.00 73.56
Closest atoms and distances in Å follow each position.
Fractional coordinates of all 4 atoms:
Os (0.0000, 0.0000, 0.0000)  10 W 2.75-2.91, 2 Os 2.80
W (0.2597, 0.4806, 0.2415)  3 Os 2.75-2.91, 9 W 2.76-2.92
W (0.5000, 0.0000, 0.5000)  8 W 2.79-2.92, 4 Os 2.80
W (0.7403, 0.5194, 0.7585)  3 Os 2.75-2.91, 9 W 2.76-2.92

=====

# 20
Compound: OsW3
Source: Alexandria via LeMat-Bulk
Functional: PBE-GGA
Structure: relaxed

abc: 2.7577 5.2182 5.2182
angles: 116.97 79.85 79.85
Closest atoms and distances in Å follow each position.
Fractional coordinates of all 4 atoms:
Os (0.0000, 0.0000, 0.0000)  6 W 2.73, 2 Os 2.76
W (0.5000, 0.0000, 0.5000)  6 W 2.73-2.76, 2 Os 2.73
W (0.5000, 0.5000, 0.0000)  6 W 2.73-2.76, 2 Os 2.73
W (0.0000, 0.5000, 0.5000)  2 Os 2.73, 6 W 2.73-2.76

=====

Calculated ΔH_f (0 K) in order - 0.3544, -0.0150, 0.8045, -0.3165, -0.0328, 1.9807, 0.3320, 0.9706, 0.6835, -0.2384, -0.2926, 0.1190, -0.0507, 0.7497, -0.0316, 0.2372, 0.1666, 0.1484, 0.2529, 0.1605 eV per atom
Calculated uncorrected energy in order - -5.370, -9.328, -8.622, -9.597, -9.185, -7.446, -9.700, -8.228, -8.515, -10.270, -10.324, -11.972, -11.711, -11.342, -11.692, -11.854, -12.356, -11.943, -12.269, -12.362 eV per atom